Material: Ti5P2N
Method: DFT, PBE-GGA
State: optimized geometry

abc: 4.648 5.045 11.411
angles: 90.00 90.00 117.42
Element x y z (fractional)
Ti: 0.943 0.887 0.875
Ti: 0.943 0.887 0.625
Ti: 0.379 0.757 0.377
Ti: 0.379 0.757 0.123
Ti: 0.710 0.421 0.250
Ti: 0.290 0.579 0.750
Ti: 0.621 0.243 0.623
Ti: 0.621 0.243 0.877
Ti: 0.057 0.113 0.125
Ti: 0.057 0.113 0.375
P: 0.800 0.600 0.448
P: 0.800 0.600 0.052
P: 0.200 0.400 0.552
P: 0.200 0.400 0.948
N: 0.780 0.559 0.750
N: 0.220 0.441 0.250

Values from the calculation:
ΔE_f (raw): -860 meV per atom
Space-group type: Cmcm, No. 63
Density of states at the Fermi level: 9.4 states/eV per cell
Final energy: -8.19 eV per atom
Crystal system: orthorhombic